1.
{"formula": "CsSc2RhSe", "functional": "GGA-PBE", "state": "optimized geometry", "formation_energy_uncorrected_ev_per_fu": 0.48, "dos_at_fermi_per_ev_cell": 6.51, "lattice_angstrom": [[5.187, 0.000, 0.000], [0.000, 4.897, 0.000], [0.000, 0.000, 5.187]], "species": ["Sc", "Se", "Cs", "Sc", "Rh"], "fractional_positions": [[0.000, 0.000, 0.500], [0.000, 0.000, 0.000], [0.500, 0.500, 0.500], [0.500, 0.000, 0.000], [0.000, 0.500, 0.000]]}


2.
{"formula": "CsY2ScRh", "functional": "GGA-PBE", "state": "optimized geometry", "formation_energy_ev_per_atom": 1.431, "dos_at_fermi_per_ev_cell": 8.35, "lattice_angstrom": [[-1.796, -3.933, -3.395], [4.575, -2.954, 1.002], [-2.523, -2.480, 4.208]], "species": ["Rh", "Y", "Y", "Sc", "Cs"], "fractional_positions": [[0.500, 0.500, 0.500], [0.000, 0.000, 0.500], [0.500, 0.000, 0.000], [0.000, 0.000, 0.000], [0.000, 0.500, 0.000]]}


3.
{"formula": "CsYSc2Rh", "functional": "GGA-PBE", "state": "optimized geometry", "formation_energy_ev_per_atom": 0.033, "dos_at_fermi_per_ev_cell": 8.39, "lattice_angstrom": [[5.275, 0.000, 0.000], [0.000, 5.558, 0.000], [0.000, 0.000, 5.275]], "species": ["Rh", "Sc", "Y", "Sc", "Cs"], "fractional_positions": [[0.000, 0.000, 0.000], [0.500, 0.000, 0.000], [0.000, 0.500, 0.000], [0.000, 0.000, 0.500], [0.500, 0.500, 0.500]]}


4.
{"formula": "Cs2ScZnRh", "functional": "GGA-PBE", "state": "optimized geometry", "formation_energy_ev_per_atom": 0.415, "dos_at_fermi_per_ev_cell": 5.27, "lattice_angstrom": [[-4.007, -4.517, -3.591], [3.749, -2.911, -0.521], [-1.696, -3.257, 5.989]], "species": ["Cs", "Rh", "Sc", "Zn", "Cs"], "fractional_positions": [[0.500, 0.000, 0.000], [0.000, 0.000, 0.000], [0.000, 0.500, 0.000], [0.500, 0.500, 0.500], [0.000, 0.000, 0.500]]}


5.
{"formula": "CsRhSe2", "functional": "GGA-PBE", "state": "optimized geometry", "formation_energy_uncorrected_ev_per_fu": -2.37, "dos_at_fermi_per_ev_cell": 8.96, "lattice_angstrom": [[7.838, 0.000, 0.000], [0.000, 4.855, 0.000], [0.000, 0.000, 11.716]], "species": ["Se", "Se", "Rh", "Rh", "Rh", "Cs", "Se", "Se", "Se", "Se", "Cs", "Se", "Cs", "Cs", "Se", "Rh"], "fractional_positions": [[0.088, 0.750, 0.564], [0.588, 0.750, 0.936], [0.457, 0.750, 0.129], [0.543, 0.250, 0.871], [0.043, 0.250, 0.629], [0.372, 0.250, 0.389], [0.833, 0.250, 0.785], [0.333, 0.250, 0.715], [0.912, 0.250, 0.436], [0.412, 0.250, 0.064], [0.872, 0.250, 0.111], [0.667, 0.750, 0.285], [0.128, 0.750, 0.889], [0.628, 0.750, 0.611], [0.167, 0.750, 0.215], [0.957, 0.750, 0.371]]}


6.
{"formula": "CsRh2Se", "functional": "GGA-PBE", "state": "optimized geometry", "formation_energy_uncorrected_ev_per_fu": 0.92, "dos_at_fermi_per_ev_cell": 3.42, "lattice_angstrom": [[7.981, 0.000, 0.000], [0.000, 7.981, 0.000], [3.991, 3.991, 3.714]], "species": ["Rh", "Cs", "Rh", "Se", "Se", "Cs", "Rh", "Rh"], "fractional_positions": [[0.375, 0.532, 0.750], [0.000, 0.000, 0.000], [0.468, 0.125, 0.250], [0.250, 0.750, 0.500], [0.500, 0.500, 0.000], [0.750, 0.250, 0.500], [0.282, 0.625, 0.250], [0.875, 0.718, 0.750]]}


7.
{"formula": "CsRhSe2", "functional": "GGA-PBE", "state": "optimized geometry", "formation_energy_uncorrected_ev_per_fu": -1.71, "dos_at_fermi_per_ev_cell": 9.68, "lattice_angstrom": [[7.029, 0.000, 0.000], [0.000, 3.526, 0.000], [0.000, 0.000, 18.011]], "species": ["Se", "Se", "Se", "Rh", "Cs", "Se", "Se", "Cs", "Se", "Rh", "Se", "Se", "Rh", "Cs", "Cs", "Rh"], "fractional_positions": [[0.747, 0.250, 0.596], [0.753, 0.750, 0.096], [0.004, 0.750, 0.250], [0.754, 0.250, 0.191], [0.247, 0.250, 0.584], [0.504, 0.750, 0.250], [0.253, 0.750, 0.404], [0.747, 0.250, 0.916], [0.247, 0.250, 0.904], [0.746, 0.750, 0.691], [0.996, 0.250, 0.750], [0.496, 0.250, 0.750], [0.254, 0.250, 0.309], [0.253, 0.750, 0.084], [0.753, 0.750, 0.416], [0.246, 0.750, 0.809]]}


8.
{"formula": "CsRhSe2", "functional": "GGA-PBE", "state": "optimized geometry", "formation_energy_uncorrected_ev_per_fu": -0.51, "dos_at_fermi_per_ev_cell": 6.11, "lattice_angstrom": [[13.156, 8.834, 5.889], [-14.610, -8.057, -2.729], [1.627, -3.495, 1.609]], "species": ["Se", "Se", "Se", "Rh", "Cs", "Rh", "Se", "Cs"], "fractional_positions": [[0.849, 0.151, 0.250], [0.151, 0.849, 0.750], [0.777, 0.223, 0.750], [0.703, 0.297, 0.750], [0.074, 0.926, 0.250], [0.297, 0.703, 0.250], [0.223, 0.777, 0.250], [0.926, 0.074, 0.750]]}


9.
{"formula": "CsRhSe2", "functional": "GGA-PBE", "state": "optimized geometry", "formation_energy_uncorrected_ev_per_fu": -2.24, "dos_at_fermi_per_ev_cell": 3.53, "lattice_angstrom": [[-1.187, 1.357, 3.309], [-8.394, -2.992, -1.785], [2.084, -6.696, 1.421]], "species": ["Se", "Cs", "Cs", "Rh", "Se", "Se", "Se", "Rh"], "fractional_positions": [[0.578, 0.576, 0.661], [0.832, 0.750, 0.150], [0.168, 0.250, 0.850], [0.070, 0.750, 0.643], [0.578, 0.924, 0.661], [0.422, 0.424, 0.339], [0.422, 0.076, 0.339], [0.930, 0.250, 0.357]]}


10.
{"formula": "CsRhSe2", "functional": "GGA-PBE", "state": "optimized geometry", "formation_energy_uncorrected_ev_per_fu": -0.53, "dos_at_fermi_per_ev_cell": 2.49, "lattice_angstrom": [[6.214, 0.000, 0.000], [0.000, 6.214, 0.000], [3.107, 3.107, 6.129]], "species": ["Se", "Cs", "Se", "Cs", "Se", "Rh", "Rh", "Se"], "fractional_positions": [[0.443, 0.943, 0.115], [0.000, 0.000, 0.000], [0.057, 0.557, 0.885], [0.750, 0.250, 0.500], [0.307, 0.307, 0.385], [0.500, 0.500, 0.000], [0.250, 0.750, 0.500], [0.693, 0.693, 0.615]]}


11.
{"formula": "CsRh6Se8", "functional": "GGA-PBE", "state": "optimized geometry", "formation_energy_uncorrected_ev_per_fu": -6.01, "dos_at_fermi_per_ev_cell": 6.04, "lattice_angstrom": [[-4.087, 5.616, -0.224], [-3.566, -2.177, 5.553], [4.245, 3.457, 4.281]], "species": ["Rh", "Se", "Se", "Se", "Rh", "Se", "Se", "Rh", "Se", "Cs", "Se", "Rh", "Rh", "Rh", "Se"], "fractional_positions": [[0.569, 0.190, 0.405], [0.724, 0.392, 0.143], [0.857, 0.276, 0.608], [0.143, 0.724, 0.392], [0.810, 0.595, 0.431], [0.608, 0.857, 0.276], [0.276, 0.608, 0.857], [0.405, 0.569, 0.190], [0.392, 0.143, 0.724], [0.000, 0.000, 0.000], [0.739, 0.739, 0.739], [0.431, 0.810, 0.595], [0.190, 0.405, 0.569], [0.595, 0.431, 0.810], [0.261, 0.261, 0.261]]}


12.
{"formula": "CsRh3Se", "functional": "GGA-PBE", "state": "optimized geometry", "e_above_lowest_polymorph_mev_per_atom": 1583, "formation_energy_uncorrected_ev_per_fu": 10.38, "dos_at_fermi_per_ev_cell": 10.08, "lattice_angstrom": [[-0.393, 4.922, -0.627], [-1.004, 0.537, 4.846], [4.859, 0.509, 0.950]], "species": ["Se", "Cs", "Rh", "Rh", "Rh"], "fractional_positions": [[0.500, 0.500, 0.500], [0.000, 0.000, 0.000], [0.000, 0.500, 0.000], [0.000, 0.000, 0.500], [0.500, 0.000, 0.000]]}


13.
{"formula": "CsRhSe2", "functional": "GGA-PBE", "state": "optimized geometry", "formation_energy_uncorrected_ev_per_fu": -2.30, "dos_at_fermi_per_ev_cell": 7.53, "lattice_angstrom": [[-14.071, 12.356, 6.265], [-3.119, 2.909, -6.015], [-3.281, -6.465, -1.347]], "species": ["Rh", "Se", "Se", "Cs", "Cs", "Se", "Cs", "Se", "Se", "Rh", "Cs", "Rh", "Se", "Rh", "Cs", "Se", "Cs", "Se", "Cs", "Se", "Se", "Se", "Rh", "Se", "Rh", "Rh", "Se", "Se", "Se", "Rh", "Cs", "Se"], "fractional_positions": [[0.666, 0.800, 0.369], [0.745, 0.703, 0.681], [0.755, 0.181, 0.203], [0.394, 0.456, 0.192], [0.894, 0.308, 0.044], [0.101, 0.187, 0.949], [0.901, 0.345, 0.559], [0.061, 0.160, 0.414], [0.561, 0.086, 0.340], [0.169, 0.128, 0.300], [0.106, 0.692, 0.956], [0.669, 0.200, 0.372], [0.750, 0.179, 0.679], [0.331, 0.800, 0.628], [0.401, 0.941, 0.155], [0.439, 0.914, 0.660], [0.606, 0.544, 0.808], [0.245, 0.819, 0.797], [0.099, 0.655, 0.441], [0.399, 0.449, 0.687], [0.939, 0.840, 0.586], [0.899, 0.813, 0.051], [0.834, 0.869, 0.300], [0.255, 0.297, 0.319], [0.166, 0.131, 0.700], [0.334, 0.200, 0.631], [0.601, 0.551, 0.313], [0.750, 0.690, 0.190], [0.250, 0.310, 0.810], [0.831, 0.872, 0.700], [0.599, 0.059, 0.845], [0.250, 0.821, 0.321]]}